Computed, not measured: crystalline AgRh2Au2 at its relaxed geometry at the PBE-GGA level of DFT.

Cell: 3.8634 3.8634 6.8623 Å, 73.65 73.65 90.00°
Closest atoms and distances in Å follow each position.
Element x y z (fractional)
Rh 0.4043 0.4043 0.1915  1 Rh 2.41
Rh 0.5957 0.5957 0.8085  1 Rh 2.41
Au 0.7500 0.2500 0.5000  4 Au 2.73, 4 Rh 2.74
Au 0.2500 0.7500 0.5000  4 Au 2.73, 4 Rh 2.74
Ag 0.0000 0.0000 0.0000  8 Rh 2.99

Its crystal system is tetragonal. The size of the total moment comes out at 2.2 μB/cell. The value obtained for the energy relative to the lowest polymorph listed for this composition is 0.213 eV per atom. The space-group type is No. 139. The calculation puts the formation energy at 0.53 eV per atom. The value obtained for the electronic total energy is -21.434 eV for the cell shown. The value obtained for the density of states at the Fermi level is 3.34 states/eV/f.u.

Computed, not measured: crystalline AlCl at its relaxed geometry at the PBE-GGA level of DFT.

Cell: 6.0899 6.0899 6.0899 Å, 90.00 90.00 90.00°
Closest atoms and distances in Å follow each position.
Element x y z (fractional)
Al 0.0000 0.0000 0.0000  6 Cl 3.04
Al 0.0000 0.5000 0.5000  6 Cl 3.04
Al 0.5000 0.0000 0.5000  6 Cl 3.04
Al 0.5000 0.5000 0.0000  6 Cl 3.04
Cl 0.5000 0.5000 0.5000  6 Al 3.04
Cl 0.5000 0.0000 0.0000  6 Al 3.04
Cl 0.0000 0.5000 0.0000  6 Al 3.04
Cl 0.0000 0.0000 0.5000  6 Al 3.04

Its crystal system is cubic. The value obtained for the formation energy (no corrections) is -0.50 eV per formula unit. The size of the total moment comes out at 0.0 μB/cell. The space-group type is No. 225. The value obtained for the electronic total energy is -24.341 eV for the cell shown.

Computed, not measured: crystalline Ac3Co2Ge3 at its relaxed geometry at the PBE-GGA level of DFT.

Cell: 4.2142 6.3297 15.2279 Å, 90.00 90.00 109.44°
Closest atoms and distances in Å follow each position.
Element x y z (fractional)
Ac 0.9276 0.8551 0.3964  2 Co 3.18, 5 Ge 3.22-3.28
Ac 0.0724 0.1449 0.8964  2 Co 3.18, 5 Ge 3.22-3.28
Ac 0.9276 0.8551 0.1036  2 Co 3.18, 5 Ge 3.22-3.28
Ac 0.0724 0.1449 0.6036  2 Co 3.18, 5 Ge 3.22-3.28
Ac 0.6473 0.2946 0.2500  4 Ge 3.16-3.21, 4 Co 3.21
Ac 0.3527 0.7054 0.7500  4 Ge 3.16-3.21, 4 Co 3.21
Co 0.7723 0.5446 0.8956  4 Ge 2.44-2.62
Co 0.2277 0.4554 0.3956  4 Ge 2.44-2.62
Co 0.7723 0.5446 0.6044  4 Ge 2.44-2.62
Co 0.2277 0.4554 0.1044  4 Ge 2.44-2.62
Ge 0.6655 0.3310 0.4600  3 Co 2.44-2.54
Ge 0.3345 0.6690 0.9600  3 Co 2.44-2.54
Ge 0.6655 0.3310 0.0400  3 Co 2.44-2.54
Ge 0.3345 0.6690 0.5400  3 Co 2.44-2.54
Ge 0.3445 0.6890 0.2500  2 Co 2.62
Ge 0.6555 0.3110 0.7500  2 Co 2.62

Its crystal system is orthorhombic. The size of the total moment comes out at 0.0 μB/cell. The space-group type is No. 63. The calculation puts the formation energy at -0.49 eV per atom. The value obtained for the electronic total energy is -88.680 eV for the cell shown. The value obtained for the density of states at the Fermi level is 6.35 states/eV/f.u.

Computed, not measured: crystalline Rb2PaOs3O12 at its relaxed geometry at the PBE-GGA level of DFT.

Cell: 7.5783 7.5783 7.5783 Å, 57.45 57.45 57.45°
Closest atoms and distances in Å follow each position.
Element x y z (fractional)
Rb 0.6243 0.6243 0.6243  6 O 3.13-3.40
Rb 0.3757 0.3757 0.3757  6 O 3.13-3.40
Pa 0.0000 0.0000 0.0000  6 O 2.18
Os 0.5000 0.0000 0.0000  6 O 1.91-1.96
Os 0.0000 0.5000 0.0000  6 O 1.91-1.96
Os 0.0000 0.0000 0.5000  6 O 1.91-1.96
O 0.3018 0.3018 0.9259  2 Os 1.91
O 0.9211 0.9211 0.3504  1 Os 1.96, 1 Pa 2.18
O 0.3504 0.9211 0.9211  1 Os 1.96, 1 Pa 2.18
O 0.9259 0.3018 0.3018  2 Os 1.91
O 0.9211 0.3504 0.9211  1 Os 1.96, 1 Pa 2.18
O 0.3018 0.9259 0.3018  2 Os 1.91
O 0.6982 0.6982 0.0741  2 Os 1.91
O 0.0789 0.0789 0.6496  1 Os 1.96, 1 Pa 2.18
O 0.6496 0.0789 0.0789  1 Os 1.96, 1 Pa 2.18
O 0.0741 0.6982 0.6982  2 Os 1.91
O 0.0789 0.6496 0.0789  1 Os 1.96, 1 Pa 2.18
O 0.6982 0.0741 0.6982  2 Os 1.91

Its crystal system is trigonal. The value obtained for the formation energy (no corrections) is -30.29 eV per formula unit. The size of the total moment comes out at 0.0 μB/cell. The space-group type is No. 166. The value obtained for the electronic total energy is -134.912 eV for the cell shown. The value obtained for the density of states at the Fermi level is 4.64 states/eV/f.u.

Computed, not measured: crystalline Na2In7Hg2 at its relaxed geometry at the PBE-GGA level of DFT.

Cell: 5.8348 5.8348 9.1145 Å, 91.66 91.66 107.45°
Closest atoms and distances in Å follow each position.
Element x y z (fractional)
Na 0.7289 0.2711 0.5000  4 Hg 3.15-3.17, 4 In 3.36-3.44, 2 Na 3.47
Na 0.2711 0.7289 0.5000  4 Hg 3.15-3.17, 4 In 3.36-3.44, 2 Na 3.47
In 0.1861 0.5684 0.1409  1 Hg 3.08, 6 In 3.15-3.37, 1 Na 3.36
In 0.4316 0.8139 0.8591  1 Hg 3.08, 6 In 3.15-3.37, 1 Na 3.36
In 0.8139 0.4316 0.8591  1 Hg 3.08, 6 In 3.15-3.37, 1 Na 3.36
In 0.5684 0.1861 0.1409  1 Hg 3.08, 6 In 3.15-3.37, 1 Na 3.36
In 0.0000 0.0000 0.0000  10 In 3.18-3.37
In 0.2587 0.2587 0.7211  5 In 3.18-3.32, 2 Hg 3.18-3.24, 2 Na 3.44
In 0.7413 0.7413 0.2789  5 In 3.18-3.32, 2 Hg 3.18-3.24, 2 Na 3.44
Hg 0.8008 0.8008 0.6269  4 In 3.08-3.24, 4 Na 3.15-3.17
Hg 0.1992 0.1992 0.3731  4 In 3.08-3.24, 4 Na 3.15-3.17

Its crystal system is monoclinic. The size of the total moment comes out at 0.0 μB/cell. The space-group type is No. 12. The calculation puts the formation energy at -0.07 eV per atom. The value obtained for the electronic total energy is -23.158 eV for the cell shown. The value obtained for the density of states at the Fermi level is 3.35 states/eV/f.u.

Computed, not measured: crystalline Li2HoGa2Pt2 at its relaxed geometry at the PBE-GGA level of DFT.

Cell: 4.3974 4.4068 7.7030 Å, 107.47 90.00 119.93°
Closest atoms and distances in Å follow each position.
Element x y z (fractional)
Li 0.5798 0.1595 0.7441  3 Pt 2.54-2.55, 3 Ga 2.75-2.79
Li 0.4202 0.8405 0.2559  3 Pt 2.54-2.55, 3 Ga 2.75-2.79
Ho 0.0000 0.0000 0.0000  2 Ga 2.93, 6 Pt 3.08-3.11, 6 Li 3.13-3.15
Ga 0.1359 0.2717 0.4055  4 Pt 2.54-2.81, 3 Li 2.75-2.79
Ga 0.8641 0.7283 0.5945  4 Pt 2.54-2.81, 3 Li 2.75-2.79
Pt 0.7491 0.4982 0.2431  4 Ga 2.54-2.81, 3 Li 2.54-2.55
Pt 0.2509 0.5018 0.7569  4 Ga 2.54-2.81, 3 Li 2.54-2.55

Its crystal system is monoclinic. The size of the total moment comes out at 0.0 μB/cell. The space-group type is No. 12. The calculation puts the formation energy at -0.69 eV per atom. The value obtained for the electronic total energy is -31.372 eV for the cell shown. The value obtained for the density of states at the Fermi level is 3.10 states/eV/f.u.

Looking at volume for the records above, in order, we have 18.792, 28.232, 23.939, 16.094, 26.878, 17.336 Å³/atom.